1.
# NaCa2LaAg

An optimized crystal structure of NaCa2LaAg (PBE, Alexandria).

Formation energy from the elements   0.30 eV per formula unit
Density   2.9 g/cm³
M_tot   0.0000 μB/atom

The structure in POSCAR format:
```
NaCa2LaAg
1.0
5.8952 0.0000 0.0000
0.0000 5.8952 0.0000
0.0000 0.0000 5.8425
Na Ca La Ag
1 2 1 1
Direct
0.0000 0.0000 0.0000
0.0000 0.5000 0.5000
0.5000 0.0000 0.5000
0.5000 0.5000 0.0000
0.5000 0.5000 0.5000
```

=====

2.
# Ca2LaNiAg

An optimized crystal structure of Ca2LaNiAg (PBE, Alexandria).

Formation energy from the elements   -0.41 eV per formula unit
Density   4.1 g/cm³
M_tot   0.0000 μB/atom

The structure in POSCAR format:
```
Ca2LaNiAg
1.0
5.4807 0.0000 0.0000
0.0000 5.4807 0.0000
0.0000 0.0000 5.2130
Ca La Ni Ag
2 1 1 1
Direct
0.0000 0.5000 0.0000
0.5000 0.0000 0.0000
0.0000 0.0000 0.5000
0.0000 0.0000 0.0000
0.5000 0.5000 0.5000
```

=====

3.
# Ca2LaAgO

An optimized crystal structure of Ca2LaAgO (PBE, Alexandria).

Formation energy without anion corrections   -1.203 eV/atom
Density   4.8 g/cm³
M_tot   0.0000 μB/atom

The structure in POSCAR format:
```
Ca2LaAgO
1.0
4.7436 0.0000 0.0000
0.0000 4.7436 0.0000
0.0000 0.0000 5.3008
Ca La Ag O
2 1 1 1
Direct
0.0000 0.5000 0.0000
0.5000 0.0000 0.0000
0.0000 0.0000 0.5000
0.5000 0.5000 0.5000
0.0000 0.0000 0.0000
```

=====

4.
# CaLa2AgO

An optimized crystal structure of CaLa2AgO (PBE, Alexandria).

Formation energy without anion corrections   -1.178 eV/atom
Density   5.9 g/cm³
M_tot   0.0000 μB/atom

The structure in POSCAR format:
```
CaLa2AgO
1.0
5.1062 0.0000 0.0000
0.0000 5.1062 0.0000
0.0000 0.0000 4.7625
Ca La Ag O
1 2 1 1
Direct
0.0000 0.0000 0.0000
0.0000 0.5000 0.5000
0.5000 0.0000 0.5000
0.5000 0.5000 0.0000
0.0000 0.0000 0.5000
```

=====

5.
# Ca2LaAg2Pb2

An optimized crystal structure of Ca2LaAg2Pb2 (PBE, Alexandria).

Formation energy from the elements   -2.57 eV per formula unit
Density   7.3 g/cm³
M_tot   0.0000 μB/atom

The structure in POSCAR format:
```
Ca2LaAg2Pb2
1.0
2.4865 1.4356 9.0578
-2.4865 1.4356 9.0578
0.0000 -2.8711 9.0578
Ca La Ag Pb
2 1 2 2
Direct
0.1356 0.1356 0.1356
0.8644 0.8644 0.8644
0.0000 0.0000 0.0000
0.4326 0.4326 0.4326
0.5674 0.5674 0.5674
0.2648 0.2648 0.2648
0.7352 0.7352 0.7352
```

=====

6.
# CaLa2Ag2Pb2

An optimized crystal structure of CaLa2Ag2Pb2 (PBE, Alexandria).

Formation energy from the elements   -2.35 eV per formula unit
Density   7.9 g/cm³
M_tot   0.0000 μB/atom

The structure in POSCAR format:
```
CaLa2Ag2Pb2
1.0
2.4875 1.4362 9.2549
-2.4875 1.4362 9.2549
0.0000 -2.8723 9.2549
Ca La Ag Pb
1 2 2 2
Direct
0.0000 0.0000 0.0000
0.1402 0.1402 0.1402
0.8598 0.8598 0.8598
0.4339 0.4339 0.4339
0.5661 0.5661 0.5661
0.2668 0.2668 0.2668
0.7332 0.7332 0.7332
```